(1)
A plane-wave DFT calculation with PBE was carried out for NiSbMo2 after structural relaxation.

Structure (POSCAR):
```
NiSbMo2
1.0
3.038 0.000 0.000
0.000 3.881 0.000
-0.481 0.000 5.560
Ni Sb Mo
1 1 2
direct
0.000 0.000 0.000
0.000 0.000 0.500
0.470 0.500 0.787
0.530 0.500 0.213
```

Computed properties:
DOS(E_F) (states/eV per cell): 4.1
Formation energy (no corrections) (meV per atom): 313



(2)
A plane-wave DFT calculation with PBE was carried out for Ni2SbMo after structural relaxation.

Structure (POSCAR):
```
Ni2SbMo
1.0
2.905 0.000 0.000
0.000 4.213 0.000
0.000 0.000 4.798
Ni Sb Mo
2 1 1
direct
0.000 0.000 0.000
0.000 0.500 0.304
0.500 0.500 0.847
0.500 0.000 0.471
```

Computed properties:
DOS(E_F) (states/eV per cell): 4.2
Formation energy (no corrections) (meV per atom): 144